No. 1
TbHoAu3: optimized geometry, PBE.

Energy relative to the elements, meV/atom: -618
Mass density, Mg/m³: 12.34
D(E_F), states/eV/f.u.: 2.819
Calculated volume, A^3/atom: 24.61
Size of the total moment, μB per cell: 0.00

Unit cell a=5.0371 b=5.4370 c=8.9860 alpha=90.00 beta=90.48 gamma=90.00
Space group P2_1/m (No. 11)
Unique sites:
1 Tb 0.0042 0.2500 0.2923 (multiplicity 2)
2 Ho 0.4953 0.2500 0.7834 (multiplicity 2)
3 Au 0.0026 0.7500 0.0762 (multiplicity 2)
4 Au 0.4995 0.7500 0.8853 (multiplicity 2)
5 Au 0.5000 0.0000 0.5000 (multiplicity 2)

No. 2
HfPd5Au8: optimized geometry, PBE.

Energy relative to the elements, meV/atom: -60
Mass density, Mg/m³: 14.82
D(E_F), states/eV/f.u.: 5.578
Calculated volume, A^3/atom: 18.30
Size of the total moment, μB per cell: 0.00

Unit cell a=7.9401 b=7.9401 c=8.1282 alpha=90.00 beta=90.00 gamma=90.00
Space group I-4 (No. 82)
Unique sites:
1 Hf 0.0000 0.0000 0.0000 (multiplicity 2)
2 Pd 0.0000 0.5000 0.2500 (multiplicity 2)
3 Pd 0.1132 0.2990 0.6625 (multiplicity 8)
4 Au 0.0622 0.1643 0.3198 (multiplicity 8)
5 Au 0.1117 0.3189 0.9953 (multiplicity 8)

No. 3
Sc6Al3Ga: optimized geometry, PBE.

Energy relative to the elements, meV/atom: -401
Mass density, Mg/m³: 3.43
D(E_F), states/eV/f.u.: 10.052
Calculated volume, A^3/atom: 20.35
Size of the total moment, μB per cell: 0.00

Unit cell a=8.3838 b=4.8262 c=10.5983 alpha=90.00 beta=108.39 gamma=90.00
Space group P2_1/m (No. 11)
Unique sites:
1 Sc 0.0390 0.2500 0.4177 (multiplicity 2)
2 Sc 0.1618 0.7500 0.1675 (multiplicity 2)
3 Sc 0.2547 0.2500 0.0009 (multiplicity 2)
4 Sc 0.3405 0.7500 0.8053 (multiplicity 2)
5 Sc 0.3598 0.2500 0.3296 (multiplicity 2)
6 Sc 0.4012 0.2500 0.6235 (multiplicity 2)
7 Al 0.0274 0.7500 0.8750 (multiplicity 2)
8 Al 0.1111 0.2500 0.7158 (multiplicity 2)
9 Al 0.2718 0.7500 0.4704 (multiplicity 2)
10 Ga 0.4578 0.7500 0.1004 (multiplicity 2)

No. 4
Ba2NaNi2: optimized geometry, PBE.

Energy relative to the elements, meV/atom: 139
Mass density, Mg/m³: 4.50
D(E_F), states/eV/f.u.: 4.455
Energy above the lowest structure with this stoichiometry, kJ/mol of formula units: 0
Calculated volume, A^3/atom: 30.61
Size of the total moment, μB per cell: 0.00

Unit cell a=8.3144 b=8.3144 c=4.4286 alpha=90.00 beta=90.00 gamma=90.00
Space group P4/mbm (No. 127)
Unique sites:
1 Ba 0.1740 0.3260 0.0000 (multiplicity 4)
2 Na 0.0000 0.0000 0.5000 (multiplicity 2)
3 Ni 0.0982 0.5982 0.5000 (multiplicity 4)

No. 5
Ac2AlTe: optimized geometry, PBE.

Mass density, Mg/m³: 7.09
ΔE_f (raw), eV per atom: -0.89
D(E_F), states/eV/f.u.: 3.429
Energy above the lowest structure with this stoichiometry, kJ/mol of formula units: 0
Calculated volume, A^3/atom: 35.64
Size of the total moment, μB per cell: 0.00

Unit cell a=4.8724 b=25.6969 c=4.5546 alpha=90.00 beta=90.00 gamma=90.00
Space group Cmcm (No. 63)
Unique sites:
1 Ac 0.0000 0.0634 0.2500 (multiplicity 4)
2 Ac 0.0000 0.3253 0.2500 (multiplicity 4)
3 Al 0.0000 0.4675 0.2500 (multiplicity 4)
4 Te 0.0000 0.1939 0.2500 (multiplicity 4)

No. 6
CrGaMo: optimized geometry, PBE.

Energy relative to the elements, meV/atom: -32
Mass density, Mg/m³: 8.52
D(E_F), states/eV/f.u.: 2.638
Energy above the lowest structure with this stoichiometry, kJ/mol of formula units: 0
Calculated volume, A^3/atom: 14.14
Size of the total moment, μB per cell: 0.90

Unit cell a=3.1323 b=3.1323 c=8.6498 alpha=90.00 beta=90.00 gamma=90.00
Space group I4mm (No. 107)
Unique sites:
1 Cr 0.0000 0.0000 0.0000 (multiplicity 2)
2 Ga 0.0000 0.0000 0.3291 (multiplicity 2)
3 Mo 0.0000 0.0000 0.6456 (multiplicity 2)

No. 7
Li3Cd3Pt2: optimized geometry, PBE.

Energy relative to the elements, meV/atom: -389
Mass density, Mg/m³: 9.11
D(E_F), states/eV/f.u.: 3.212
Calculated volume, A^3/atom: 17.05
Size of the total moment, μB per cell: 0.00

Unit cell a=7.2480 b=7.2480 c=8.9937 alpha=90.00 beta=90.00 gamma=120.00
Space group R32 (No. 155, hexagonal axes)
Unique sites:
1 Li 0.0000 0.7524 0.0000 (multiplicity 9)
2 Cd 0.0000 0.2602 0.5000 (multiplicity 9)
3 Pt 0.0000 0.0000 0.2557 (multiplicity 6)

No. 8
Sm6Tl2H: optimized geometry, PBE.

Mass density, Mg/m³: 8.54
Total energy, eV per atom: -4.253
D(E_F), states/eV/f.u.: 9.256
Calculated volume, A^3/atom: 28.33
Size of the total moment, μB per cell: 0.00

Unit cell a=6.6148 b=9.3167 c=9.7839 alpha=90.00 beta=122.25 gamma=90.00
Space group P2_1/c (No. 14)
Unique sites:
1 Sm 0.1273 0.1373 0.4849 (multiplicity 4)
2 Sm 0.3243 0.0382 0.2025 (multiplicity 4)
3 Sm 0.3281 0.7355 0.4429 (multiplicity 4)
4 Tl 0.1753 0.0880 0.8189 (multiplicity 4)
5 H 0.5000 0.0000 0.5000 (multiplicity 2)

No. 9
Be4SiOs: optimized geometry, PBE.

Mass density, Mg/m³: 7.71
ΔE_f (raw), eV per atom: -0.34
D(E_F), states/eV/f.u.: 0.580
Calculated volume, A^3/atom: 9.13
Size of the total moment, μB per cell: 0.00

Unit cell a=6.0292 b=6.0292 c=6.0292 alpha=90.00 beta=90.00 gamma=90.00
Space group F-43m (No. 216)
Unique sites:
1 Be 0.1248 0.1248 0.1248 (multiplicity 16)
2 Si 0.2500 0.2500 0.7500 (multiplicity 4)
3 Os 0.0000 0.0000 0.5000 (multiplicity 4)

No. 10
Sc2B2MoIr5: optimized geometry, PBE.

Energy relative to the elements, meV/atom: -649
Mass density, Mg/m³: 13.80
D(E_F), states/eV/f.u.: 4.410
Calculated volume, A^3/atom: 14.06
Size of the total moment, μB per cell: 0.00

Unit cell a=9.4280 b=9.4280 c=3.1634 alpha=90.00 beta=90.00 gamma=90.00
Space group P4/mbm (No. 127)
Unique sites:
1 Sc 0.1770 0.3230 0.0000 (multiplicity 4)
2 B 0.1201 0.6201 0.0000 (multiplicity 4)
3 Mo 0.0000 0.0000 0.0000 (multiplicity 2)
4 Ir 0.0000 0.5000 0.5000 (multiplicity 2)
5 Ir 0.0715 0.7780 0.5000 (multiplicity 8)

No. 11
LaPm3F: optimized geometry, PBE.

Mass density, Mg/m³: 6.97
ΔE_f (raw), eV per atom: -0.97
D(E_F), states/eV/f.u.: 4.387
Calculated volume, A^3/atom: 28.27
Size of the total moment, μB per cell: 0.00

Unit cell a=5.2089 b=5.2089 c=5.2089 alpha=90.00 beta=90.00 gamma=90.00
Space group Pm-3m (No. 221)
Unique sites:
1 La 0.0000 0.0000 0.0000 (multiplicity 1)
2 Pm 0.0000 0.5000 0.5000 (multiplicity 3)
3 F 0.5000 0.5000 0.5000 (multiplicity 1)

No. 12
Ce4Os2Rh: optimized geometry, PBE.

Energy relative to the elements, meV/atom: -334
Mass density, Mg/m³: 10.76
D(E_F), states/eV/f.u.: 11.086
Calculated volume, A^3/atom: 23.02
Size of the total moment, μB per cell: 0.00

Unit cell a=12.1995 b=8.6593 c=8.5950 alpha=90.00 beta=134.78 gamma=90.00
Space group C2 (No. 5)
Unique sites:
1 Ce 0.0600 0.0000 0.3658 (multiplicity 4)
2 Ce 0.0606 0.3796 0.2548 (multiplicity 4)
3 Ce 0.1898 0.6295 0.7458 (multiplicity 4)
4 Ce 0.1899 0.7501 0.1343 (multiplicity 4)
5 Os 0.0000 0.0706 0.0000 (multiplicity 2)
6 Os 0.0000 0.3095 0.5000 (multiplicity 2)
7 Os 0.1193 0.6899 0.3695 (multiplicity 4)
8 Rh 0.2497 0.4397 0.1246 (multiplicity 4)